Material: ScTc3W
Method: DFT, PBEsol
State: relaxed

## Properties
As for the calculated formation energy: 1292 meV per atom. The density of states at the Fermi level is 7.51 states/eV per cell.

Cell lengths 4.6331, 4.6331, 4.6331 Å; angles 90.00, 90.00, 90.00 degrees
Closest atoms and distances in Å follow each position.
Positions (direct):
Tc1 0.0000 0.0000 0.5000  2 W 2.32
Tc2 0.5000 0.0000 0.0000  2 W 2.32
Tc3 0.0000 0.5000 0.0000  2 W 2.32
W1 0.0000 0.0000 0.0000  6 Tc 2.32
Sc1 0.5000 0.5000 0.5000  12 Tc 3.28



Material: ScTcW
Method: DFT, PBEsol
State: relaxed

## Properties
As for the calculated formation energy: 116 meV per atom. The density of states at the Fermi level is 2.74 states/eV per cell.

Cell lengths 2.7821, 2.7821, 6.9377 Å; angles 97.35, 97.35, 111.23 degrees
Closest atoms and distances in Å follow each position.
Positions (direct):
Tc1 0.3283 0.3283 0.6566  2 W 2.58, 2 Sc 2.75, 4 Tc 2.78
Sc1 0.9953 0.9953 0.9905  2 Tc 2.75, 4 Sc 2.78, 2 W 2.91
W1 0.6764 0.6764 0.3529  2 Tc 2.58, 4 W 2.78



Material: ScTcW
Method: DFT, PBEsol
State: relaxed

## Properties
As for the calculated formation energy: 639 meV per atom. The density of states at the Fermi level is 2.80 states/eV per cell.

Cell lengths 4.2958, 4.2958, 4.2958 Å; angles 60.00, 60.00, 60.00 degrees
Closest atoms and distances in Å follow each position.
Positions (direct):
Sc1 0.0000 0.0000 0.0000  4 W 2.63
W1 0.7500 0.7500 0.7500  4 Tc 2.63, 4 Sc 2.63
Tc1 0.5000 0.5000 0.5000  4 W 2.63



Q: Which E_tot values were calculated for the entries above? A: -9.550 -10.444 -9.921, in eV/atom.